Compound: K4Si23
Source: Alexandria
Functional: PBE-GGA
Structure: optimized geometry

Unit cell a=10.3367 b=10.3367 c=10.3367 alpha=90.00 beta=90.00 gamma=90.00
With the nearest neighbours (Å) after each atom.
Fractional positions:
Si: 0.6848 0.3152 0.3152  4 Si 2.33-2.39
Si: 0.8066 0.5000 0.3815  4 Si 2.39-2.45
Si: 0.5000 0.2500 0.0000  4 Si 2.42
Si: 0.8152 0.8152 0.8152  4 Si 2.33-2.39
Si: 0.3066 0.8815 0.0000  4 Si 2.39-2.45
Si: 0.0000 0.3066 0.8815  4 Si 2.39-2.45
Si: 0.5000 0.6185 0.1934  4 Si 2.39-2.45
Si: 0.3152 0.3152 0.3152  4 Si 2.33-2.39
Si: 0.8815 0.0000 0.3066  4 Si 2.39-2.45
Si: 0.5000 0.7500 0.0000  4 Si 2.42
Si: 0.3815 0.8066 0.5000  4 Si 2.39-2.45
Si: 0.5000 0.3815 0.8066  4 Si 2.39-2.45
Si: 0.1185 0.0000 0.6934  4 Si 2.39-2.45
Si: 0.6934 0.1185 0.0000  4 Si 2.39-2.45
Si: 0.1848 0.8152 0.1848  4 Si 2.33-2.39
Si: 0.6848 0.6848 0.6848  4 Si 2.33-2.39
Si: 0.2500 0.0000 0.5000  4 Si 2.42
Si: 0.8152 0.8152 0.1848  4 Si 2.33-2.39
Si: 0.8815 0.0000 0.6934  4 Si 2.39-2.45
Si: 0.1848 0.8152 0.8152  4 Si 2.33-2.39
Si: 0.0000 0.5000 0.7500  4 Si 2.42
Si: 0.6848 0.3152 0.6848  4 Si 2.33-2.39
Si: 0.1848 0.1848 0.8152  4 Si 2.33-2.39
Si: 0.5000 0.6185 0.8066  4 Si 2.39-2.45
Si: 0.3152 0.6848 0.6848  4 Si 2.33-2.39
Si: 0.3152 0.6848 0.3152  4 Si 2.33-2.39
Si: 0.5000 0.3815 0.1934  4 Si 2.39-2.45
Si: 0.6185 0.1934 0.5000  4 Si 2.39-2.45
Si: 0.6185 0.8066 0.5000  4 Si 2.39-2.45
Si: 0.8152 0.1848 0.8152  4 Si 2.33-2.39
Si: 0.0000 0.6934 0.1185  4 Si 2.39-2.45
Si: 0.3152 0.3152 0.6848  4 Si 2.33-2.39
Si: 0.8152 0.1848 0.1848  4 Si 2.33-2.39
Si: 0.8066 0.5000 0.6185  4 Si 2.39-2.45
Si: 0.0000 0.3066 0.1185  4 Si 2.39-2.45
Si: 0.3066 0.1185 0.0000  4 Si 2.39-2.45
Si: 0.0000 0.5000 0.2500  4 Si 2.42
Si: 0.0000 0.6934 0.8815  4 Si 2.39-2.45
Si: 0.6848 0.6848 0.3152  4 Si 2.33-2.39
Si: 0.6934 0.8815 0.0000  4 Si 2.39-2.45
Si: 0.1934 0.5000 0.3815  4 Si 2.39-2.45
Si: 0.1848 0.1848 0.1848  4 Si 2.33-2.39
Si: 0.3815 0.1934 0.5000  4 Si 2.39-2.45
Si: 0.1185 0.0000 0.3066  4 Si 2.39-2.45
Si: 0.7500 0.0000 0.5000  4 Si 2.42
Si: 0.1934 0.5000 0.6185  4 Si 2.39-2.45
K: 0.0000 0.7500 0.5000  20 Si 3.49-3.84
K: 0.7500 0.5000 0.0000  20 Si 3.49-3.84
K: 0.5000 0.5000 0.5000  20 Si 3.31-3.40
K: 0.0000 0.0000 0.0000  20 Si 3.31-3.40
K: 0.5000 0.0000 0.2500  20 Si 3.49-3.84
K: 0.5000 0.0000 0.7500  20 Si 3.49-3.84
K: 0.2500 0.5000 0.0000  20 Si 3.49-3.84
K: 0.0000 0.2500 0.5000  20 Si 3.49-3.84

Output
Space group ... Pm-3n
DFT total energy ... -4.80 eV/atom



Compound: Pr3Dy6Y2Pu
Source: Alexandria
Functional: PBE-GGA
Structure: optimized geometry

Unit cell a=6.2085 b=6.2085 c=11.8000 alpha=95.04 beta=95.04 gamma=120.02
With the nearest neighbours (Å) after each atom.
Fractional positions:
Pr: 0.5000 0.5000 0.5000  6 Pr 3.58-3.59, 6 Dy 3.61-3.63
Pr: 0.1671 0.8329 0.5000  6 Pr 3.58-3.59, 6 Dy 3.61-3.63
Pr: 0.8329 0.1671 0.5000  6 Pr 3.58-3.59, 6 Dy 3.61-3.63
Dy: 0.5900 0.9184 0.7555  1 Pu 3.50, 2 Y 3.52, 6 Dy 3.53-3.61, 3 Pr 3.61-3.63
Dy: 0.2471 0.2471 0.7553  1 Pu 3.50, 2 Y 3.52, 6 Dy 3.53-3.61, 3 Pr 3.61-3.63
Dy: 0.7529 0.7529 0.2447  1 Pu 3.50, 2 Y 3.52, 6 Dy 3.53-3.61, 3 Pr 3.61-3.63
Dy: 0.0816 0.4100 0.2445  1 Pu 3.50, 2 Y 3.52, 6 Dy 3.53-3.61, 3 Pr 3.61-3.63
Dy: 0.4100 0.0816 0.2445  1 Pu 3.50, 2 Y 3.52, 6 Dy 3.53-3.61, 3 Pr 3.61-3.63
Dy: 0.9184 0.5900 0.7555  1 Pu 3.50, 2 Y 3.52, 6 Dy 3.53-3.61, 3 Pr 3.61-3.63
Y: 0.3334 0.6666 0.0000  6 Dy 3.52, 3 Y 3.58, 3 Pu 3.58-3.59
Y: 0.6666 0.3334 0.0000  6 Dy 3.52, 3 Y 3.58, 3 Pu 3.58-3.59
Pu: 0.0000 0.0000 0.0000  6 Dy 3.50, 6 Y 3.58-3.59

Output
ΔE_f ... 49 meV/atom
Space group ... C2/m



Computed values of total moment (unit: μB per formula unit) for the preceding records, in sequence: 0.00, 6.59.